(1)
TaBeO3: optimized geometry, GGA-PBEsol.

```
TaBeO3
1.0
3.932 0.000 0.000
0.000 3.932 0.000
0.000 0.000 3.932
Ta Be O
1 1 3
direct
0.000 0.000 0.000
0.500 0.500 0.500
0.000 0.000 0.500
0.000 0.500 0.000
0.500 0.000 0.000
```

Space-group type: Pm-3m, No. 221
Total magnetization in μB per atom: 0.0861
Formation energy from raw total energies in eV/atom: -1.58
Calculated volume in Å³ per cell: 61
D(E_F) in states/eV/atom: 0.306
Crystal system: cubic

(2)
La12Co6Pb: optimized geometry, GGA-PBEsol.

```
La12Co6Pb
1.0
-4.970 4.970 4.970
4.970 -4.970 4.970
4.970 4.970 -4.970
La Co Pb
12 6 1
direct
0.126 0.313 0.813
0.187 0.500 0.313
0.187 0.874 0.687
0.313 0.187 0.500
0.313 0.813 0.126
0.500 0.313 0.187
0.500 0.687 0.813
0.687 0.187 0.874
0.687 0.813 0.500
0.813 0.126 0.313
0.813 0.500 0.687
0.874 0.687 0.187
0.127 0.500 0.627
0.373 0.873 0.500
0.500 0.373 0.873
0.500 0.627 0.127
0.627 0.127 0.500
0.873 0.500 0.373
0.000 0.000 0.000
```

Space-group type: Im-3, No. 204
Total magnetization in μB per atom: 0.0000
Calculated volume in Å³ per cell: 491
D(E_F) in states/eV/atom: 0.823
Crystal system: cubic
Formation enthalpy at 0 K in meV/atom: -174

(3)
SrCaMg2: optimized geometry, GGA-PBEsol.

```
SrCaMg2
1.0
3.884 0.000 0.000
0.000 3.884 0.000
0.000 0.000 8.887
Sr Ca Mg
1 1 2
direct
0.000 0.000 0.000
0.500 0.500 0.340
0.000 0.000 0.571
0.500 0.500 0.741
```

Space-group type: P4mm, No. 99
Total magnetization in μB per atom: 0.0000
Calculated volume in Å³ per cell: 134
D(E_F) in states/eV/atom: 0.756
Crystal system: tetragonal
Formation enthalpy at 0 K in meV/atom: -20

(4)
Ca5Pt: optimized geometry, GGA-PBEsol.

```
Ca5Pt
1.0
5.620 0.000 0.000
0.000 2.128 7.817
0.000 -2.128 7.817
Ca Pt
5 1
direct
0.000 0.000 0.000
0.000 0.255 0.255
0.500 0.128 0.128
0.500 0.465 0.465
0.500 0.792 0.792
0.000 0.628 0.628
```

Space-group type: Amm2, No. 38
Total magnetization in μB per atom: 0.0000
Calculated volume in Å³ per cell: 187
D(E_F) in states/eV/atom: 1.007
Crystal system: orthorhombic
Formation enthalpy at 0 K in meV/atom: -177